(1)
## DyTm2UAs4 (PBE)

Data for a relaxed structure of DyTm2UAs4.

a = 4.0667 Å, b = 7.0662 Å, c = 7.0615 Å
α = 109.21°, β = 90.00°, γ = 90.00°
Each line ends with the local moment (μB).
Positions (direct):
As1 0.0000 0.2461 0.7489  -0.03
As2 0.5000 0.2495 0.2520  -0.04
U1 0.0000 0.0000 0.0000  2.16
Tm1 0.0000 0.5000 0.5000  0.01
Dy1 0.5000 0.5000 0.0000  0.02
Tm2 0.5000 0.0000 0.5000  0.01
As3 0.5000 0.7505 0.7480  -0.04
As4 0.0000 0.7539 0.2511  -0.03

Properties
The space group is No. 10. For the energy relative to the elements, the calculation gives -1.312 eV/atom. For the raw total energy, the calculation gives -6.741 eV/atom.

=====

(2)
## DyTmU2As4 (PBE)

Data for a relaxed structure of DyTmU2As4.

a = 4.0551 Å, b = 7.0254 Å, c = 7.1647 Å
α = 109.07°, β = 90.00°, γ = 90.00°
Each line ends with the local moment (μB).
Positions (direct):
As1 0.0000 0.7479 0.2488  -0.05
As2 0.0000 0.2521 0.7512  -0.05
U1 0.0000 0.5000 0.5000  2.26
As3 0.5000 0.7483 0.7499  -0.05
As4 0.5000 0.2517 0.2501  -0.05
Dy1 0.0000 0.0000 0.0000  0.01
U2 0.5000 0.0000 0.5000  2.30
Tm1 0.5000 0.5000 0.0000  0.00

Properties
The space group is No. 10. For the energy relative to the elements, the calculation gives -1.128 eV/atom. For the raw total energy, the calculation gives -7.409 eV/atom.

=====

(3)
## DyY2Tm3As6 (PBE)

Data for a relaxed structure of DyY2Tm3As6.

a = 4.0933 Å, b = 8.1834 Å, c = 9.1497 Å
α = 102.89°, β = 102.93°, γ = 90.00°
Positions (direct):
Tm1 0.1667 0.8332 0.3334
As1 0.0010 0.7481 0.0019
Tm2 0.8333 0.1668 0.6666
As2 0.3343 0.4144 0.6685
As3 0.6657 0.5856 0.3315
As4 0.6675 0.0808 0.3349
As5 0.9990 0.2519 0.9981
Y1 0.1666 0.3332 0.3333
Dy1 0.5000 0.0000 0.0000
Y2 0.8334 0.6668 0.6667
Tm3 0.5000 0.5000 0.0000
As6 0.3325 0.9192 0.6651

Properties
The space group is No. 12. For the energy relative to the elements, the calculation gives -1.527 eV/atom. For the raw total energy, the calculation gives -6.431 eV/atom.

=====

(4)
## Dy3Y2TmAs6 (PBE)

Data for a relaxed structure of Dy3Y2TmAs6.

a = 4.1121 Å, b = 8.2206 Å, c = 9.1915 Å
α = 102.90°, β = 102.93°, γ = 90.00°
Positions (direct):
Tm1 0.5000 0.0000 0.0000
Dy1 0.8331 0.1664 0.6661
As1 0.6657 0.0823 0.3314
As2 0.3343 0.9177 0.6686
Dy2 0.5000 0.5000 0.0000
As3 0.3335 0.4163 0.6669
Dy3 0.1669 0.8336 0.3339
As4 0.0004 0.7527 0.0007
As5 0.6665 0.5837 0.3331
Y1 0.1663 0.3330 0.3327
Y2 0.8337 0.6670 0.6673
As6 0.9996 0.2473 0.9993

Properties
The space group is No. 12. For the energy relative to the elements, the calculation gives -1.538 eV/atom. For the raw total energy, the calculation gives -6.463 eV/atom.

=====

(5)
## Dy2YTm3As6 (PBE)

Data for a relaxed structure of Dy2YTm3As6.

a = 4.0925 Å, b = 8.1815 Å, c = 9.1475 Å
α = 102.88°, β = 102.93°, γ = 90.00°
Positions (direct):
Dy1 0.1667 0.3332 0.3334
As1 0.6659 0.5851 0.3317
As2 0.0008 0.7475 0.0016
As3 0.9992 0.2525 0.9984
Y1 0.5000 0.0000 0.0000
As4 0.6676 0.0812 0.3353
Tm1 0.5000 0.5000 0.0000
Tm2 0.1666 0.8331 0.3332
As5 0.3324 0.9188 0.6647
As6 0.3341 0.4149 0.6683
Tm3 0.8334 0.1669 0.6668
Dy2 0.8333 0.6668 0.6666

Properties
The space group is No. 12. For the energy relative to the elements, the calculation gives -1.524 eV/atom. For the raw total energy, the calculation gives -6.272 eV/atom.

=====

(6)
## Dy2YTmAs4 (PBE)

Data for a relaxed structure of Dy2YTmAs4.

a = 4.1075 Å, b = 7.1107 Å, c = 7.1113 Å
α = 70.53°, β = 90.00°, γ = 90.00°
Positions (direct):
Tm1 0.0000 0.5000 0.5000
Dy1 0.0000 0.0000 0.0000
Dy2 0.5000 0.0000 0.5000
As1 0.5000 0.7479 0.2526
As2 0.0000 0.2508 0.2516
Y1 0.5000 0.5000 0.0000
As3 0.0000 0.7492 0.7484
As4 0.5000 0.2521 0.7474

Properties
The space group is No. 10. For the energy relative to the elements, the calculation gives -1.533 eV/atom. For the raw total energy, the calculation gives -6.376 eV/atom.